Entry w
A relaxed structure of ScGa4Tc. Source: the Alexandria database, functional GGA-PBE.

Properties
total magnetic moment = 0.0 μB/f.u.

Unit cell a=4.723 b=5.604 c=7.402 alpha=90.00 beta=90.00 gamma=90.00
Space group Immm (No. 71)
Symmetry-distinct sites (fractional):
Sc: 0.000 0.000 0.000 [2 per cell]
Ga: 0.000 0.236 0.332 [8 per cell]
Tc: 0.000 0.500 0.000 [2 per cell]


Entry x
A relaxed structure of ScGa4Tc. Source: the Alexandria database, functional GGA-PBE.

Properties
total magnetic moment = 0.0 μB/f.u.

Unit cell a=12.260 b=6.206 c=6.047 alpha=90.00 beta=112.52 gamma=90.00
Space group C2/m (No. 12)
Symmetry-distinct sites (fractional):
Sc: 0.212 0.000 0.386 [4 per cell]
Ga: 0.000 0.192 0.000 [4 per cell]
Ga: 0.110 0.231 0.666 [8 per cell]
Ga: 0.194 0.500 0.073 [4 per cell]
Tc: 0.045 0.500 0.291 [4 per cell]


Stability, lowest: entry w


Entry w
A relaxed structure of Sc4GaTc2. Source: the Alexandria database, functional GGA-PBE.

Properties
total magnetic moment = 0.0 μB/f.u.

Unit cell a=4.802 b=8.319 c=13.612 alpha=90.00 beta=90.00 gamma=90.00
Space group Cmcm (No. 63)
Symmetry-distinct sites (fractional):
Sc: 0.000 0.000 0.000 [4 per cell]
Sc: 0.000 0.333 0.133 [8 per cell]
Sc: 0.000 0.334 0.750 [4 per cell]
Ga: 0.000 0.001 0.750 [4 per cell]
Tc: 0.000 0.333 0.545 [8 per cell]


Entry x
A relaxed structure of Sc4GaTc2. Source: the Alexandria database, functional GGA-PBE.

Properties
total magnetic moment = 0.0 μB/f.u.

Unit cell a=5.100 b=5.100 c=12.379 alpha=90.00 beta=90.00 gamma=90.00
Space group I4/mmm (No. 139)
Symmetry-distinct sites (fractional):
Sc: 0.000 0.000 0.212 [4 per cell]
Sc: 0.000 0.500 0.000 [4 per cell]
Ga: 0.000 0.000 0.000 [2 per cell]
Tc: 0.000 0.000 0.401 [4 per cell]


Stability, lowest: entry x


Entry w
A relaxed structure of ScTiGaTc. Source: the Alexandria database, functional GGA-PBE.

Properties
total magnetic moment = 0.0 μB/f.u.

Unit cell a=6.413 b=6.413 c=6.413 alpha=90.00 beta=90.00 gamma=90.00
Space group F-43m (No. 216)
Symmetry-distinct sites (fractional):
Sc: 0.000 0.000 0.000 [4 per cell]
Ti: 0.000 0.000 0.500 [4 per cell]
Ga: 0.250 0.250 0.250 [4 per cell]
Tc: 0.250 0.250 0.750 [4 per cell]


Entry x
A relaxed structure of ScTiGaTc. Source: the Alexandria database, functional GGA-PBE.

Properties
total magnetic moment = 0.0 μB/f.u.

Unit cell a=3.254 b=3.254 c=6.343 alpha=90.00 beta=90.00 gamma=90.00
Space group P4mm (No. 99)
Symmetry-distinct sites (fractional):
Sc: 0.000 0.000 0.000 [1 per cell]
Ti: 0.000 0.000 0.471 [1 per cell]
Ga: 0.500 0.500 0.717 [1 per cell]
Tc: 0.500 0.500 0.263 [1 per cell]


Stability, lowest: entry w


Entry w
A relaxed structure of Sc2Ga2Te. Source: the Alexandria database, functional GGA-PBE.

Properties
total magnetic moment = 0.0 μB/f.u.

Unit cell a=7.439 b=7.439 c=4.080 alpha=90.00 beta=90.00 gamma=90.00
Space group P4/mbm (No. 127)
Symmetry-distinct sites (fractional):
Sc: 0.165 0.335 0.000 [4 per cell]
Ga: 0.128 0.628 0.500 [4 per cell]
Te: 0.000 0.000 0.000 [2 per cell]


Entry x
A relaxed structure of Sc2Ga2Te. Source: the Alexandria database, functional GGA-PBE.

Properties
total magnetic moment = 0.8 μB/f.u.

Unit cell a=3.746 b=3.746 c=15.630 alpha=90.00 beta=90.00 gamma=90.00
Space group I4/mmm (No. 139)
Symmetry-distinct sites (fractional):
Sc: 0.000 0.000 0.106 [4 per cell]
Ga: 0.000 0.500 0.250 [4 per cell]
Te: 0.000 0.000 0.500 [2 per cell]


Stability, lowest: entry w